Entry 1:
Entry from the Alexandria database: a geometry-optimized AlAg3Ru structure (PBE).

abc: 4.697 4.697 4.697
angles: 90.00 90.00 90.00
Fractional coordinates of all 5 atoms:
1 Al 0.000 0.000 0.000
2 Ag 0.000 0.000 0.500
3 Ag 0.000 0.500 0.000
4 Ag 0.500 0.000 0.000
5 Ru 0.500 0.500 0.500

Properties
Total energy, eV/atom: -3.232
ΔE_f, eV per atom: 1.082
Total moment, Bohr magnetons per cell: 1.959
Relative energy among the computed polymorphs, meV per atom: 0

Entry 2:
Entry from the Alexandria database: a geometry-optimized Sr2TiOs structure (PBE).

abc: 11.565 11.565 4.638
angles: 90.00 90.00 90.00
Fractional coordinates of all 16 atoms:
1 Sr 0.081 0.750 0.125
2 Sr 0.250 0.081 0.875
3 Sr 0.250 0.419 0.375
4 Sr 0.419 0.750 0.625
5 Sr 0.581 0.250 0.625
6 Sr 0.750 0.581 0.375
7 Sr 0.750 0.919 0.875
8 Sr 0.919 0.250 0.125
9 Ti 0.000 0.000 0.500
10 Ti 0.000 0.500 0.750
11 Ti 0.500 0.000 0.250
12 Ti 0.500 0.500 0.000
13 Os 0.000 0.000 0.000
14 Os 0.000 0.500 0.250
15 Os 0.500 0.000 0.750
16 Os 0.500 0.500 0.500

Properties
Total energy, eV/atom: -5.036
ΔE_f, eV per atom: 0.586
Total moment, Bohr magnetons per cell: 0.000
Relative energy among the computed polymorphs, meV per atom: 0

Among the records above, which one has the highest ΔE_f?
AlAg3Ru

The highest total moment belongs to which entry?
AlAg3Ru

Which of these has the lowest ΔE_f?
Sr2TiOs

Number 2 is which compound?
Sr2TiOs